Entry 1:
InReN2O, relaxed, DFT GGA-PBE; size of the total moment = 0.001 μB per cell; mass density = 8.52 g/cm³; DFT total energy = -37.40 eV for the cell shown
1.0
3.7432 0.0000 0.0000
0.0000 3.8749 0.0000
0.0000 0.0000 4.6370
N O Re In
2 1 1 1
Direct
0.5000 0.5000 0.8175 N
0.0000 0.5000 0.3095 N
0.5000 0.0000 0.3365 O
0.5000 0.5000 0.4439 Re
0.0000 0.0000 0.9986 In

Entry 2:
SmInNO, relaxed, DFT GGA-PBE; size of the total moment = 0.000 μB per cell; mass density = 8.50 g/cm³; DFT total energy = -51.09 eV for the cell shown
1.0
-1.1242 -0.9922 -4.7129
1.2008 -4.7445 0.7124
-4.4442 -0.9360 1.2572
O N In Sm
2 2 2 2
Direct
0.7500 0.2500 0.0000 O
0.2500 0.7500 0.0000 O
0.2500 0.2500 0.5190 N
0.7500 0.7500 0.4810 N
0.2500 0.2500 0.0097 In
0.7500 0.7500 0.9903 In
0.7500 0.2500 0.5000 Sm
0.2500 0.7500 0.5000 Sm

Entry 3:
SmInNO, relaxed, DFT GGA-PBE; size of the total moment = 3.170 μB per cell; mass density = 6.70 g/cm³; DFT total energy = -105.48 eV for the cell shown
1.0
5.9908 0.0000 0.0000
0.0000 8.3129 0.0000
0.0000 0.0000 5.8725
O In Sm N
4 4 4 4
Direct
0.7476 0.0001 0.2196 O
0.7524 0.0001 0.7196 O
0.2524 0.9999 0.7196 O
0.2476 0.9999 0.2196 O
0.4422 0.3965 0.4421 In
0.0578 0.3965 0.9421 In
0.9422 0.6035 0.4421 In
0.5578 0.6035 0.9421 In
0.5011 0.1214 0.9728 Sm
0.0011 0.8786 0.9728 Sm
0.9989 0.1214 0.4728 Sm
0.4989 0.8786 0.4728 Sm
0.4060 0.3844 0.0679 N
0.0940 0.3844 0.5679 N
0.5940 0.6156 0.5679 N
0.9060 0.6156 0.0679 N

Entry 4:
SmInNO, relaxed, DFT GGA-PBE; size of the total moment = 0.000 μB per cell; mass density = 6.65 g/cm³; DFT total energy = -51.25 eV for the cell shown
1.0
-1.7233 -3.5168 -0.0338
2.1855 -1.0194 -5.3693
5.2285 -2.5872 2.6194
In Sm N O
2 2 2 2
Direct
0.0000 0.5007 0.3215 In
0.0000 0.0007 0.6785 In
0.5000 0.9915 0.1863 Sm
0.5000 0.4915 0.8137 Sm
0.0000 0.3819 0.6470 N
0.0000 0.8819 0.3530 N
0.5000 0.8798 0.8437 O
0.5000 0.3798 0.1563 O

Entry 5:
SmInNO, relaxed, DFT GGA-PBE; size of the total moment = 0.000 μB per cell; mass density = 7.72 g/cm³; DFT total energy = -51.77 eV for the cell shown
1.0
-0.8830 4.2265 1.4008
2.1190 -1.0521 4.5100
4.8813 1.6522 -1.9080
N O In Sm
2 2 2 2
Direct
0.0000 0.4421 0.7049 N
0.0000 0.9421 0.2951 N
0.5000 0.9043 0.8509 O
0.5000 0.4043 0.1491 O
0.5000 0.9580 0.2507 In
0.5000 0.4580 0.7493 In
0.0000 0.4495 0.2682 Sm
0.0000 0.9495 0.7318 Sm

Entry 6:
SmInNO, relaxed, DFT GGA-PBE; size of the total moment = 0.002 μB per cell; mass density = 8.15 g/cm³; DFT total energy = -51.27 eV for the cell shown
1.0
4.9419 0.0000 0.0000
0.0000 4.9419 0.0000
0.0000 0.0000 4.9227
N Sm In O
2 2 2 2
Direct
0.0000 0.5000 0.4545 N
0.5000 0.0000 0.5455 N
0.0000 0.0000 0.5000 Sm
0.5000 0.5000 0.5000 Sm
0.5000 0.0000 0.0039 In
0.0000 0.5000 0.9961 In
0.5000 0.5000 0.0000 O
0.0000 0.0000 0.0000 O

Entry 7:
SmInNO, relaxed, DFT GGA-PBE; size of the total moment = 0.004 μB per cell; mass density = 7.31 g/cm³; DFT total energy = -50.43 eV for the cell shown
1.0
4.0685 0.0000 0.0000
0.0000 4.0685 0.0000
0.0000 0.0000 8.0972
O Sm In N
2 2 2 2
Direct
0.5000 0.5000 0.0000 O
0.0000 0.0000 0.0000 O
0.5000 0.0000 0.8662 Sm
0.0000 0.5000 0.1338 Sm
0.0000 0.0000 0.5000 In
0.5000 0.5000 0.5000 In
0.5000 0.0000 0.3474 N
0.0000 0.5000 0.6526 N

Entry 8:
TaInNO, relaxed, DFT GGA-PBE; size of the total moment = 0.050 μB per cell; mass density = 9.93 g/cm³; DFT total energy = -55.39 eV for the cell shown
1.0
3.7801 0.0000 0.0000
0.0000 3.7801 0.0000
0.0000 0.0000 7.6238
N Ta O In
2 2 2 2
Direct
0.7500 0.7500 0.2831 N
0.2500 0.2500 0.7169 N
0.2500 0.2500 0.1405 Ta
0.7500 0.7500 0.8595 Ta
0.7500 0.2500 0.0000 O
0.2500 0.7500 0.0000 O
0.7500 0.2500 0.5000 In
0.2500 0.7500 0.5000 In

Entry 9:
TaInNO, relaxed, DFT GGA-PBE; size of the total moment = 0.016 μB per cell; mass density = 7.39 g/cm³; DFT total energy = -63.93 eV for the cell shown
1.0
-2.7888 -0.5782 -1.7802
2.9978 -3.5552 -3.5414
-1.6271 -5.7818 4.4269
In Ta O N
2 2 2 2
Direct
0.0000 0.5049 0.3700 In
0.0000 0.0049 0.6300 In
0.5000 0.4983 0.8337 Ta
0.5000 0.9983 0.1663 Ta
0.5000 0.7514 0.9971 O
0.5000 0.2514 0.0029 O
0.0000 0.9995 0.2967 N
0.0000 0.4995 0.7033 N

Entry 10:
TaInNO, relaxed, DFT GGA-PBE; size of the total moment = 0.001 μB per cell; mass density = 7.45 g/cm³; DFT total energy = -61.54 eV for the cell shown
1.0
2.9402 -2.9415 0.0000
2.9402 2.9415 0.0000
0.0000 0.0000 8.3995
N O Ta In
2 2 2 2
Direct
0.2500 0.7500 0.2330 N
0.7500 0.2500 0.7670 N
0.2500 0.2500 0.5000 O
0.7500 0.7500 0.5000 O
0.2500 0.7500 0.4431 Ta
0.7500 0.2500 0.5569 Ta
0.2500 0.2500 0.0000 In
0.7500 0.7500 0.0000 In

Entry 11:
TaInNO, relaxed, DFT GGA-PBE; size of the total moment = 0.004 μB per cell; mass density = 6.90 g/cm³; DFT total energy = -64.01 eV for the cell shown
1.0
-0.7843 -0.0433 -3.4691
3.1401 5.1066 -0.7737
6.0230 -3.9025 -1.3130
N Ta O In
2 2 2 2
Direct
0.0000 0.2573 0.5063 N
0.0000 0.7573 0.4937 N
0.0000 0.5016 0.3454 Ta
0.0000 0.0016 0.6546 Ta
0.5000 0.9973 0.7632 O
0.5000 0.4973 0.2368 O
0.5000 0.4979 0.8816 In
0.5000 0.9979 0.1184 In

Entry 12:
TaInNO, relaxed, DFT GGA-PBE; size of the total moment = 0.003 μB per cell; mass density = 9.23 g/cm³; DFT total energy = -62.12 eV for the cell shown
1.0
3.9727 0.0000 0.0000
0.0000 3.9727 0.0000
0.0000 0.0000 7.4278
Ta O N In
2 2 2 2
Direct
0.7500 0.2500 0.5000 Ta
0.2500 0.7500 0.5000 Ta
0.7500 0.2500 0.0000 O
0.2500 0.7500 0.0000 O
0.7500 0.7500 0.4079 N
0.2500 0.2500 0.5921 N
0.7500 0.7500 0.8665 In
0.2500 0.2500 0.1335 In

Entry 13:
TaInNO, relaxed, DFT GGA-PBE; size of the total moment = 0.015 μB per cell; mass density = 8.99 g/cm³; DFT total energy = -123.92 eV for the cell shown
1.0
-4.8082 -3.8631 -2.9372
4.8272 -3.8137 -2.8861
-0.0058 -3.1320 4.1288
In N Ta O
4 4 4 4
Direct
0.4260 0.8513 0.5022 In
0.9260 0.1487 0.5022 In
0.0740 0.8513 0.0022 In
0.5740 0.1487 0.0022 In
0.4259 0.8595 0.9521 N
0.9259 0.1405 0.9521 N
0.5741 0.1405 0.4521 N
0.0741 0.8595 0.4521 N
0.5352 0.6013 0.0423 Ta
0.9648 0.6013 0.5423 Ta
0.0352 0.3987 0.0423 Ta
0.4648 0.3987 0.5423 Ta
0.3038 0.4469 0.2058 O
0.8038 0.5531 0.2058 O
0.1962 0.4469 0.7058 O
0.6962 0.5531 0.7058 O

Entry 14:
TbInNO, relaxed, DFT GGA-PBE; size of the total moment = 0.004 μB per cell; mass density = 7.02 g/cm³; DFT total energy = -51.54 eV for the cell shown
1.0
3.8309 0.0000 0.0000
0.0000 5.9384 0.0000
0.0000 0.0000 6.3159
O N In Tb
2 2 2 2
Direct
0.5000 0.3656 0.1494 O
0.5000 0.8656 0.8506 O
0.0000 0.3887 0.6497 N
0.0000 0.8887 0.3503 N
0.0000 0.5068 0.3209 In
0.0000 0.0068 0.6791 In
0.5000 0.9929 0.1823 Tb
0.5000 0.4929 0.8177 Tb

Entry 15:
TbInNO, relaxed, DFT GGA-PBE; size of the total moment = 3.094 μB per cell; mass density = 7.22 g/cm³; DFT total energy = -106.09 eV for the cell shown
1.0
5.8070 0.0000 0.0000
0.0000 8.3703 0.0000
0.0000 0.0000 5.7492
N O In Tb
4 4 4 4
Direct
0.9183 0.3796 0.0592 N
0.0817 0.6204 0.5592 N
0.5817 0.3796 0.5592 N
0.4183 0.6204 0.0592 N
0.7482 0.0013 0.2237 O
0.2482 0.9987 0.2237 O
0.2518 0.9987 0.7237 O
0.7518 0.0013 0.7237 O
0.0544 0.6074 0.9435 In
0.9456 0.3926 0.4435 In
0.5544 0.3926 0.9435 In
0.4456 0.6074 0.4435 In
0.5025 0.8806 0.9760 Tb
0.9975 0.8806 0.4760 Tb
0.4975 0.1194 0.4760 Tb
0.0025 0.1194 0.9760 Tb

Entry 16:
TbInNO, relaxed, DFT GGA-PBE; size of the total moment = 0.004 μB per cell; mass density = 8.58 g/cm³; DFT total energy = -51.82 eV for the cell shown
1.0
-1.3552 -4.4439 1.7437
3.7123 -2.1207 -2.5194
2.8871 0.5930 3.7550
In O N Tb
2 2 2 2
Direct
0.7500 0.7500 0.9996 In
0.2500 0.2500 0.0004 In
0.7500 0.2500 0.0000 O
0.2500 0.7500 0.0000 O
0.2500 0.2500 0.5008 N
0.7500 0.7500 0.4992 N
0.2500 0.7500 0.5000 Tb
0.7500 0.2500 0.5000 Tb

Entry 17:
TbInNO, relaxed, DFT GGA-PBE; size of the total moment = 0.007 μB per cell; mass density = 7.81 g/cm³; DFT total energy = -50.46 eV for the cell shown
1.0
4.0344 0.0000 0.0000
0.0000 4.0344 0.0000
0.0000 0.0000 7.9325
Tb O N In
2 2 2 2
Direct
0.5000 0.0000 0.8715 Tb
0.0000 0.5000 0.1285 Tb
0.5000 0.5000 0.0000 O
0.0000 0.0000 0.0000 O
0.0000 0.5000 0.6573 N
0.5000 0.0000 0.3427 N
0.5000 0.5000 0.5000 In
0.0000 0.0000 0.5000 In

Entry 18:
TbInNO, relaxed, DFT GGA-PBE; size of the total moment = 0.007 μB per cell; mass density = 6.99 g/cm³; DFT total energy = -51.55 eV for the cell shown
1.0
-1.9052 -3.2999 0.0000
0.0000 0.0000 5.8829
-5.5730 3.2175 0.0000
Tb N O In
2 2 2 2
Direct
0.0000 0.4963 0.3247 Tb
0.0000 0.9963 0.6753 Tb
0.0000 0.8801 0.3411 N
0.0000 0.3801 0.6589 N
0.5000 0.3904 0.1752 O
0.5000 0.8904 0.8248 O
0.5000 0.4872 0.8207 In
0.5000 0.9872 0.1793 In

Entry 19:
InTcNO, relaxed, DFT GGA-PBE; size of the total moment = 0.001 μB per cell; mass density = 6.98 g/cm³; DFT total energy = -53.75 eV for the cell shown
1.0
-1.4225 0.9972 2.6578
-5.1583 0.2274 -2.8462
-1.1352 -5.8556 1.5895
In Tc O N
2 2 2 2
Direct
0.0000 0.5217 0.3807 In
0.0000 0.0217 0.6193 In
0.5000 0.5177 0.7793 Tc
0.5000 0.0177 0.2207 Tc
0.5000 0.8585 0.8059 O
0.5000 0.3585 0.1941 O
0.0000 0.8561 0.1889 N
0.0000 0.3561 0.8111 N

Entry 20:
InTcNO, relaxed, DFT GGA-PBE; size of the total moment = 2.376 μB per cell; mass density = 7.57 g/cm³; DFT total energy = -109.56 eV for the cell shown
1.0
4.9613 0.0000 0.0000
0.0000 5.5970 0.0000
0.0000 0.0000 7.6721
N O Tc In
4 4 4 4
Direct
0.9770 0.9257 0.3582 N
0.4770 0.5743 0.3582 N
0.4770 0.0743 0.6418 N
0.9770 0.4257 0.6418 N
0.2033 0.8737 0.0012 O
0.7033 0.6263 0.0012 O
0.7033 0.1263 0.9988 O
0.2033 0.3737 0.9988 O
0.0241 0.6264 0.8427 Tc
0.5241 0.8736 0.8427 Tc
0.5241 0.3736 0.1573 Tc
0.0241 0.1264 0.1573 Tc
0.4981 0.9699 0.3535 In
0.9981 0.5301 0.3535 In
0.9981 0.0301 0.6465 In
0.4981 0.4699 0.6465 In

Entry 21:
InTcNO, relaxed, DFT GGA-PBE; size of the total moment = 1.602 μB per cell; mass density = 6.70 g/cm³; DFT total energy = -51.92 eV for the cell shown
1.0
4.2136 0.0000 0.0000
0.0000 4.2136 0.0000
0.0000 0.0000 6.7816
Tc O In N
2 2 2 2
Direct
0.7500 0.7500 0.0340 Tc
0.2500 0.2500 0.9660 Tc
0.7500 0.2500 0.0000 O
0.2500 0.7500 0.0000 O
0.2500 0.7500 0.5000 In
0.7500 0.2500 0.5000 In
0.7500 0.7500 0.2948 N
0.2500 0.2500 0.7052 N

Entry 22:
InTcNO, relaxed, DFT GGA-PBE; size of the total moment = 0.029 μB per cell; mass density = 5.97 g/cm³; DFT total energy = -52.70 eV for the cell shown
1.0
-3.7626 -1.0926 -1.2724
1.5724 -3.7874 0.3917
-2.5083 -0.2519 7.6334
Tc In O N
2 2 2 2
Direct
0.2500 0.7500 0.5654 Tc
0.7500 0.2500 0.4346 Tc
0.2500 0.2500 0.0000 In
0.7500 0.7500 0.0000 In
0.7500 0.7500 0.5000 O
0.2500 0.2500 0.5000 O
0.7500 0.2500 0.2222 N
0.2500 0.7500 0.7778 N

Entry 23:
InTcNO, relaxed, DFT GGA-PBE; size of the total moment = 0.864 μB per cell; mass density = 7.67 g/cm³; DFT total energy = -55.51 eV for the cell shown
1.0
-1.8381 -1.2135 -3.1582
3.0349 -2.1800 -0.9287
-2.7541 -5.4010 3.6781
Tc N In O
2 2 2 2
Direct
0.7500 0.2500 0.5000 Tc
0.2500 0.7500 0.5000 Tc
0.7500 0.7500 0.3921 N
0.2500 0.2500 0.6079 N
0.2500 0.2500 0.1461 In
0.7500 0.7500 0.8539 In
0.2500 0.7500 0.0000 O
0.7500 0.2500 0.0000 O